<A>
Al3Ag5 | GGA-PBEsol | optimized geometry

Cell lengths 3.989, 5.816, 5.564 Å; angles 90.00, 90.00, 90.00 degrees
Element x y z (fractional)
Al1 0.000 0.000 0.000
Al2 0.500 0.254 0.725
Al3 0.500 0.746 0.725
Ag1 0.000 0.000 0.507
Ag2 0.000 0.500 0.482
Ag3 0.000 0.500 0.974
Ag4 0.500 0.244 0.223
Ag5 0.500 0.756 0.223

Calculated density: 7.978 g/cm³

---

<B>
Al3Ag5 | GGA-PBEsol | optimized geometry

Cell lengths 5.022, 2.877, 9.166 Å; angles 90.00, 100.81, 90.00 degrees
Element x y z (fractional)
Al1 0.000 0.000 0.000
Al2 0.246 0.000 0.742
Al3 0.492 0.500 0.000
Ag1 0.242 0.500 0.241
Ag2 0.495 0.000 0.499
Ag3 0.744 0.000 0.240
Ag4 0.748 0.500 0.761
Ag5 0.996 0.500 0.504

Calculated density: 7.918 g/cm³

---

<C>
Al3Ag5 | GGA-PBEsol | optimized geometry

Cell lengths 3.881, 4.092, 8.072 Å; angles 90.00, 90.00, 90.00 degrees
Element x y z (fractional)
Al1 0.000 0.000 0.000
Al2 0.000 0.500 0.254
Al3 0.000 0.500 0.746
Ag1 0.000 0.000 0.500
Ag2 0.500 0.000 0.242
Ag3 0.500 0.000 0.758
Ag4 0.500 0.500 0.000
Ag5 0.500 0.500 0.500

Calculated density: 8.036 g/cm³

---

Which of them is the most stable, and which is the least stable? <C> and <B>, in that order.

---

<A>
Al3Ag5 | GGA-PBEsol | optimized geometry

Cell lengths 4.011, 6.329, 6.329 Å; angles 127.20, 90.00, 90.00 degrees
Element x y z (fractional)
Al1 0.000 0.000 0.000
Al2 0.500 0.145 0.403
Al3 0.500 0.403 0.145
Ag1 0.000 0.272 0.782
Ag2 0.000 0.489 0.489
Ag3 0.000 0.782 0.272
Ag4 0.500 0.650 0.897
Ag5 0.500 0.897 0.650

Calculated density: 8.047 g/cm³

---

<B>
Al3Ag5 | GGA-PBEsol | optimized geometry

Cell lengths 8.368, 8.368, 8.368 Å; angles 151.97, 151.97, 40.06 degrees
Element x y z (fractional)
Al1 0.000 0.000 0.000
Al2 0.129 0.629 0.500
Al3 0.629 0.129 0.500
Ag1 0.249 0.249 0.000
Ag2 0.382 0.882 0.500
Ag3 0.514 0.514 0.000
Ag4 0.749 0.749 0.000
Ag5 0.882 0.382 0.500

Calculated density: 7.974 g/cm³

---

<C>
Al3Ag5 | GGA-PBEsol | optimized geometry

Cell lengths 7.534, 7.534, 7.534 Å; angles 97.09, 97.09, 138.88 degrees
Element x y z (fractional)
Al1 0.173 0.673 0.846
Al2 0.250 0.250 0.000
Al3 0.327 0.173 0.500
Al4 0.673 0.827 0.500
Al5 0.750 0.750 0.000
Al6 0.827 0.327 0.154
Ag1 0.069 0.229 0.298
Ag2 0.229 0.931 0.160
Ag3 0.250 0.750 0.500
Ag4 0.271 0.431 0.702
Ag5 0.431 0.729 0.160
Ag6 0.569 0.271 0.840
Ag7 0.729 0.569 0.298
Ag8 0.750 0.250 0.500
Ag9 0.771 0.069 0.840
Ag10 0.931 0.771 0.702

Calculated density: 7.822 g/cm³

---

<D>
Al3Ag5 | GGA-PBEsol | optimized geometry

Cell lengths 6.224, 6.224, 9.332 Å; angles 127.21, 127.21, 27.11 degrees
Element x y z (fractional)
Al1 0.000 0.000 0.000
Al2 0.128 0.128 0.382
Al3 0.371 0.371 0.128
Ag1 0.261 0.261 0.768
Ag2 0.508 0.508 0.498
Ag3 0.624 0.624 0.880
Ag4 0.743 0.743 0.248
Ag5 0.871 0.871 0.620

Calculated density: 7.984 g/cm³

---

Which of them is the most stable, and which is the least stable? <A> and <C>, in that order.

---

<A>
Al3Ag5 | GGA-PBEsol | optimized geometry

Cell lengths 4.914, 5.034, 5.597 Å; angles 71.29, 88.98, 78.74 degrees
Element x y z (fractional)
Al1 0.000 0.000 0.000
Al2 0.247 0.500 0.859
Al3 0.753 0.500 0.141
Ag1 0.000 0.000 0.500
Ag2 0.250 0.515 0.356
Ag3 0.492 0.984 0.760
Ag4 0.508 0.016 0.240
Ag5 0.750 0.485 0.644

Calculated density: 8.017 g/cm³

---

<B>
Al3Ag5 | GGA-PBEsol | optimized geometry

Cell lengths 6.920, 6.460, 4.801 Å; angles 74.19, 63.93, 41.88 degrees
Element x y z (fractional)
Al1 0.000 0.000 0.000
Al2 0.253 0.253 0.747
Al3 0.747 0.747 0.253
Ag1 0.127 0.127 0.373
Ag2 0.373 0.373 0.127
Ag3 0.500 0.500 0.500
Ag4 0.627 0.627 0.873
Ag5 0.873 0.873 0.627

Calculated density: 8.038 g/cm³

---

<C>
Al3Ag5 | GGA-PBEsol | optimized geometry

Cell lengths 6.948, 6.311, 4.924 Å; angles 75.28, 61.46, 43.26 degrees
Element x y z (fractional)
Al1 0.000 0.000 0.000
Al2 0.628 0.628 0.872
Al3 0.872 0.872 0.628
Ag1 0.118 0.118 0.382
Ag2 0.244 0.244 0.756
Ag3 0.382 0.382 0.118
Ag4 0.500 0.500 0.500
Ag5 0.756 0.756 0.244

Calculated density: 8.021 g/cm³

---

Which of them is the most stable, and which is the least stable? <A> and <C>, in that order.